A crystal of Sc2TaFe relaxed with PBEsol. Source: Alexandria, functional SCAN.

Output
- formation energy (eV per atom) = 0.349
- electronic total energy (eV per atom) = -27.947
- E above lowest polymorph (meV per atom) = 350

Cell: 2.9790 4.8725 4.8725 Å, 90.00 90.00 90.00°
Fractional positions:
Fe 0.5000 0.0000 0.0000
Sc 0.0000 0.0000 0.5000
Sc 0.0000 0.5000 0.0000
Ta 0.5000 0.5000 0.5000